Entry from Alexandria: La8Tc3RhBr4 after structural relaxation (PBE).

a = 8.4278 Å, b = 8.4278 Å, c = 23.5903 Å
α = 90.00°, β = 90.00°, γ = 120.00°
Space group R-3m (No. 166, hexagonal axes)
Symmetry-distinct sites (fractional):
La 0.0000 0.0000 0.2339 [6 per cell]
La 0.0087 0.5044 0.7686 [18 per cell]
Tc 0.0000 0.5000 0.5000 [9 per cell]
Rh 0.0000 0.0000 0.5000 [3 per cell]
Br 0.0000 0.0000 0.0000 [3 per cell]
Br 0.0000 0.5000 0.0000 [9 per cell]

Values from the calculation:
Crystal system: trigonal
D(E_F) (states/eV per cell): 35.36
Total energy (Ha/atom): -0.2203
Energy relative to the elements, uncorrected (eV/f.u.): -11.37
Magnetic moment (μB per formula unit): 0.00